Computed, not measured: an optimized crystal structure of ScTlAg at the GGA-PBE level of DFT.

```
ScTlAg
1.0
4.8383 0.0000 0.0000
-2.4191 4.1901 0.0000
0.0000 0.0000 3.2178
Ag Sc Tl
1 1 1
Cartesian
0.0000 0.0000 2.6820
2.4191 1.3967 1.0717
0.0000 2.7934 2.6819
```

Magnetization: 0.000 μB per atom
Formation energy: -176.1 meV/atom